Below is TaCdSe2 after structural relaxation, with properties calculated at the PBE-GGA level.

ΔE_f (raw): -0.10 eV/atom
total DFT energy (no corrections): -20.2 eV per cell
calculated volume: 21.1 A^3/atom

The structure in POSCAR format:
```
TaCdSe2
1.0
4.398 -1.714 0.000
4.398 1.714 0.000
-1.020 0.000 5.608
Ta Cd Se
1 1 2
Direct
0.000 0.000 0.000
0.500 0.500 0.500
0.290 0.290 0.797
0.710 0.710 0.203
```

---

Below is Ac6TlGe2 after structural relaxation, with properties calculated at the PBE-GGA level.

total DFT energy (no corrections): -80.2 eV per cell
calculated volume: 36.5 A^3/atom

The structure in POSCAR format:
```
Ac6TlGe2
1.0
-5.334 5.492 5.610
5.334 -5.492 5.610
5.334 5.492 -5.610
Ac Tl Ge
12 2 4
Direct
0.045 0.246 0.799
0.178 0.274 0.451
0.178 0.726 0.904
0.327 0.028 0.702
0.327 0.625 0.298
0.447 0.246 0.201
0.553 0.754 0.799
0.673 0.375 0.702
0.673 0.972 0.298
0.822 0.274 0.096
0.822 0.726 0.549
0.955 0.754 0.201
0.000 0.000 0.000
0.500 0.500 0.000
0.115 0.615 0.500
0.360 0.000 0.360
0.640 0.000 0.640
0.885 0.385 0.500
```

---

Below is Fe3CuS after structural relaxation, with properties calculated at the PBE-GGA level.

ΔE_f (raw): 0.34 eV/atom
total DFT energy (no corrections): -31.9 eV per cell
calculated volume: 13.9 A^3/atom

The structure in POSCAR format:
```
Fe3CuS
1.0
4.112 0.000 0.000
0.000 4.112 0.000
0.000 0.000 4.112
Fe Cu S
3 1 1
Direct
0.000 0.000 0.500
0.000 0.500 0.000
0.500 0.000 0.000
0.500 0.500 0.500
0.000 0.000 0.000
```